[1]
A plane-wave DFT calculation with GGA-PBE was carried out for a relaxed ZnSbN2 crystal.

Unit cell a=6.334 b=6.334 c=6.334 alpha=30.02 beta=30.02 gamma=30.02
Sites, in units of the cell vectors:
Zn 0.000 0.000 0.000
Sb 0.500 0.500 0.500
N 0.389 0.389 0.389
N 0.611 0.611 0.611

- ΔE to the lowest computed polymorph: 11.74 kcal/mol of atoms
- E_form (uncorrected): 0.908 eV/atom

[2]
A plane-wave DFT calculation with GGA-PBE was carried out for a relaxed Ta2TiMo8 crystal.

Unit cell a=5.263 b=5.463 c=7.017 alpha=105.66 beta=96.94 gamma=99.76
Sites, in units of the cell vectors:
Ta 0.158 0.255 0.181
Ta 0.842 0.745 0.819
Ti 0.000 0.000 0.500
Mo 0.165 0.753 0.168
Mo 0.328 0.494 0.831
Mo 0.343 0.001 0.833
Mo 0.483 0.745 0.496
Mo 0.517 0.255 0.504
Mo 0.657 0.999 0.167
Mo 0.672 0.506 0.169
Mo 0.835 0.247 0.832

[3]
A plane-wave DFT calculation with GGA-PBE was carried out for a relaxed Ac4Bi2B crystal.

Unit cell a=9.634 b=9.634 c=9.634 alpha=147.17 beta=147.17 gamma=47.11
Sites, in units of the cell vectors:
Ac 0.000 0.500 0.500
Ac 0.165 0.165 0.000
Ac 0.500 0.000 0.500
Ac 0.835 0.835 0.000
Bi 0.362 0.362 0.000
Bi 0.638 0.638 0.000
B 0.000 0.000 0.000

[4]
A plane-wave DFT calculation with GGA-PBE was carried out for a relaxed CaLa2IrPd crystal.

Unit cell a=5.513 b=5.513 c=5.791 alpha=90.00 beta=90.00 gamma=90.00
Sites, in units of the cell vectors:
Ca 0.000 0.000 0.000
La 0.000 0.500 0.465
La 0.500 0.000 0.465
Ir 0.000 0.000 0.509
Pd 0.500 0.500 0.213

[5]
A plane-wave DFT calculation with GGA-PBE was carried out for a relaxed PaVS3 crystal.

Unit cell a=6.780 b=5.667 c=9.282 alpha=90.00 beta=99.56 gamma=90.00
Sites, in units of the cell vectors:
Pa 0.149 0.188 0.163
Pa 0.149 0.312 0.663
Pa 0.851 0.688 0.337
Pa 0.851 0.812 0.837
V 0.449 0.750 0.050
V 0.449 0.750 0.550
V 0.551 0.250 0.450
V 0.551 0.250 0.950
S 0.098 0.681 0.109
S 0.098 0.819 0.609
S 0.253 0.037 0.917
S 0.253 0.463 0.417
S 0.465 0.594 0.816
S 0.465 0.906 0.316
S 0.535 0.094 0.684
S 0.535 0.406 0.184
S 0.747 0.537 0.583
S 0.747 0.963 0.083
S 0.902 0.181 0.391
S 0.902 0.319 0.891

- E_form (uncorrected): -1.200 eV/atom

[6]
A plane-wave DFT calculation with GGA-PBE was carried out for a relaxed TbSm2HoAs4 crystal.

Unit cell a=7.216 b=4.169 c=7.217 alpha=90.00 beta=109.47 gamma=90.00
Sites, in units of the cell vectors:
Tb 0.000 0.000 0.000
Sm 0.500 0.000 0.500
Sm 0.500 0.500 0.000
Ho 0.000 0.500 0.500
As 0.244 0.000 0.747
As 0.245 0.500 0.249
As 0.755 0.500 0.751
As 0.756 0.000 0.253

[7]
A plane-wave DFT calculation with GGA-PBE was carried out for a relaxed CrBr2Cl crystal.

Unit cell a=3.546 b=7.066 c=7.066 alpha=42.38 beta=90.00 gamma=90.00
Sites, in units of the cell vectors:
Cr 0.000 0.000 0.000
Br 0.000 0.481 0.481
Br 0.500 0.134 0.134
Cl 0.500 0.880 0.880

- ΔE to the lowest computed polymorph: 0.26 kcal/mol of atoms
- E_form (uncorrected): -0.759 eV/atom

[8]
A plane-wave DFT calculation with GGA-PBE was carried out for a relaxed BaNi2Sb crystal.

Unit cell a=6.140 b=6.140 c=6.140 alpha=41.93 beta=41.93 gamma=41.93
Sites, in units of the cell vectors:
Ba 0.000 0.000 0.000
Ni 0.188 0.188 0.188
Ni 0.812 0.812 0.812
Sb 0.500 0.500 0.500

- E_form (uncorrected): -0.388 eV/atom

[9]
A plane-wave DFT calculation with GGA-PBE was carried out for a relaxed TiBe9Nb2 crystal.

Unit cell a=7.527 b=7.527 c=7.527 alpha=35.20 beta=35.20 gamma=35.20
Sites, in units of the cell vectors:
Ti 0.000 0.000 0.000
Be 0.076 0.584 0.584
Be 0.335 0.335 0.335
Be 0.416 0.416 0.924
Be 0.416 0.924 0.416
Be 0.500 0.500 0.500
Be 0.584 0.076 0.584
Be 0.584 0.584 0.076
Be 0.665 0.665 0.665
Be 0.924 0.416 0.416
Nb 0.142 0.142 0.142
Nb 0.858 0.858 0.858

- ΔE to the lowest computed polymorph: 0.00 kcal/mol of atoms

[10]
A plane-wave DFT calculation with GGA-PBE was carried out for a relaxed VTe2H crystal.

Unit cell a=4.687 b=4.687 c=4.687 alpha=60.00 beta=60.00 gamma=60.00
Sites, in units of the cell vectors:
V 0.000 0.000 0.000
Te 0.250 0.250 0.250
Te 0.750 0.750 0.750
H 0.500 0.500 0.500

- ΔE to the lowest computed polymorph: 15.49 kcal/mol of atoms

[11]
A plane-wave DFT calculation with GGA-PBE was carried out for a relaxed ZrAlFe crystal.

Unit cell a=4.429 b=4.429 c=4.429 alpha=60.00 beta=60.00 gamma=60.00
Sites, in units of the cell vectors:
Zr 0.000 0.000 0.000
Al 0.250 0.250 0.250
Fe 0.750 0.750 0.750

[12]
A plane-wave DFT calculation with GGA-PBE was carried out for a relaxed MgAgN3 crystal.

Unit cell a=4.057 b=4.057 c=4.057 alpha=90.00 beta=90.00 gamma=90.00
Sites, in units of the cell vectors:
Mg 0.000 0.000 0.000
Ag 0.500 0.500 0.500
N 0.000 0.500 0.500
N 0.500 0.000 0.500
N 0.500 0.500 0.000

- E_form (uncorrected): 1.971 eV/atom

Total magnetic moment readings, ordered: 0.00 0.00 0.00 0.00 0.00 0.00 3.00 0.00 0.00 1.78 1.52 3.08 μB/f.u.
DOS at the Fermi energy readings, ordered: 0.65 0.87 0.78 0.78 0.76 0.11 0.24 0.94 0.51 0.55 1.60 0.41 states/eV per atom
Electronic total energy readings, ordered: -4.604 -10.619 -4.838 -5.575 -7.399 -6.185 -4.463 -4.790 -5.355 -4.285 -6.234 -3.914 eV per atom